No. 1
Here is an optimized crystal structure of ThCdHgPt from Alexandria via LeMat-Bulk. Energies are from PBE-GGA.

a = 5.064 Å, b = 5.064 Å, c = 5.064 Å
α = 60.00°, β = 60.00°, γ = 60.00°
Element x y z (fractional)
Hg  0.750  0.750  0.750
Pt  0.250  0.250  0.250
Th  0.000  0.000  0.000
Cd  0.500  0.500  0.500

The value obtained for the density is 13.39 g/cm3. For the total energy, the calculation gives -16.804 eV for the cell shown. The volume is 23.0 Å³ per atom. Its energy above the most stable polymorph in this dataset is 0.000 eV/atom. The formation energy comes out at -0.532 eV per atom.


No. 2
Here is an optimized crystal structure of TiCd2HgPt from Alexandria via LeMat-Bulk. Energies are from PBE-GGA.

a = 5.084 Å, b = 5.152 Å, c = 5.084 Å
α = 90.00°, β = 90.00°, γ = 90.00°
Element x y z (fractional)
Pt  0.000  0.000  0.000
Cd  0.000  0.000  0.500
Cd  0.500  0.000  0.000
Ti  0.500  0.500  0.500
Hg  0.000  0.500  0.000

The value obtained for the density is 8.34 g/cm3. For the total energy, the calculation gives -13.026 eV for the cell shown. The volume is 26.6 Å³ per atom. The formation energy comes out at 0.608 eV per atom.


No. 3
Here is an optimized crystal structure of TlCdHg2Pt from Alexandria via LeMat-Bulk. Energies are from PBE-GGA.

a = 5.319 Å, b = 5.319 Å, c = 5.257 Å
α = 90.00°, β = 90.00°, γ = 90.00°
Element x y z (fractional)
Hg  0.000  0.500  0.000
Pt  0.000  0.000  0.000
Hg  0.500  0.000  0.000
Tl  0.500  0.500  0.500
Cd  0.000  0.000  0.500

The value obtained for the density is 10.19 g/cm3. For the total energy, the calculation gives -10.042 eV for the cell shown. The volume is 29.7 Å³ per atom. Its energy above the most stable polymorph in this dataset is 0.000 eV/atom. The formation energy comes out at -0.023 eV per atom.


No. 4
Here is an optimized crystal structure of TlCdHg2Pt from Alexandria via LeMat-Bulk. Energies are from PBE-GGA.

a = 5.313 Å, b = 5.313 Å, c = 5.662 Å
α = 90.00°, β = 90.00°, γ = 90.00°
Element x y z (fractional)
Tl  0.000  0.000  0.500
Hg  0.500  0.000  0.000
Cd  0.000  0.000  0.000
Hg  0.000  0.500  0.000
Pt  0.500  0.500  0.500

The value obtained for the density is 9.49 g/cm3. For the total energy, the calculation gives -6.079 eV for the cell shown. The volume is 32.0 Å³ per atom. Its energy above the most stable polymorph in this dataset is 0.793 eV/atom. The formation energy comes out at 0.769 eV per atom.